A relaxed DyCrFeP2 crystal, computed with PBE.

Unit cell a=5.567 b=5.567 c=5.567 alpha=139.32 beta=139.32 gamma=58.89
Atoms (fractional coordinates):
Dy  0.000  0.000  0.000
Cr  0.250  0.750  0.500
Fe  0.750  0.250  0.500
P  0.370  0.370  0.000
P  0.630  0.630  0.000

Results
As for the formation energy: -0.8710 eV per atom. The space-group type is I-4m2, No. 119. The total energy comes out at -37.86 eV/f.u.